Record 1
Computed, not measured: a relaxed structure of Ba2AcCr2N6 at the GGA-PBE level of DFT. Values from VASP.

Properties
- SG = No. 12
- ΔE_f (raw) (eV per atom) = -0.689
- E (eV per atom) = -7.703
- mass density (g/cm³) = 5.60
- crystal system = monoclinic

Structure (Quantum ESPRESSO input):
```
&SYSTEM
  ibrav = 0, nat = 11, ntyp = 4
/
ATOMIC_SPECIES
Ba 137.33 Ba.upf
Ac 227.00 Ac.upf
Cr 52.00 Cr.upf
N 14.01 N.upf
ATOMIC_POSITIONS angstrom
Ba 3.051 1.635 1.049
Ba 0.000 0.311 5.050
Ac 3.051 -1.728 3.198
Cr 3.051 2.273 4.858
Cr 0.000 -0.327 1.241
N 3.051 0.834 3.930
N -1.635 4.138 0.991
N 1.416 -2.192 5.108
N 4.686 -2.192 5.108
N 1.635 4.138 0.991
N 0.000 1.112 2.169
CELL_PARAMETERS angstrom
6.102 0.000 0.000
-3.051 5.403 -0.298
0.000 -3.457 6.396
```



Record 2
Computed, not measured: a relaxed structure of BaAcCrN4 at the GGA-PBE level of DFT. Values from VASP.

Properties
- SG = No. 11
- ΔE_f (raw) (eV per atom) = -0.730
- E (eV per atom) = -7.724
- mass density (g/cm³) = 6.03
- crystal system = monoclinic

Structure (Quantum ESPRESSO input):
```
&SYSTEM
  ibrav = 0, nat = 14, ntyp = 4
/
ATOMIC_SPECIES
Ba 137.33 Ba.upf
Ac 227.00 Ac.upf
Cr 52.00 Cr.upf
N 14.01 N.upf
ATOMIC_POSITIONS angstrom
Ba 2.281 4.330 6.848
Ba 1.566 1.443 0.524
Ac 3.723 4.330 3.343
Ac 0.124 1.443 4.029
Cr 0.675 4.330 2.262
Cr 3.172 1.443 5.110
N 4.187 2.826 5.379
N -0.340 5.713 1.993
N -0.340 2.948 1.993
N 4.187 0.061 5.379
N 2.146 4.330 1.299
N 1.702 1.443 6.073
N 1.150 4.330 3.925
N 2.698 1.443 3.447
CELL_PARAMETERS angstrom
6.157 0.000 0.087
0.000 5.774 0.000
-2.310 0.000 7.285
```



Record 3
Computed, not measured: a relaxed structure of BaAc2CrN4 at the GGA-PBE level of DFT. Values from VASP.

Properties
- SG = No. 63
- ΔE_f (raw) (eV per atom) = -0.835
- E (eV per atom) = -7.468
- mass density (g/cm³) = 7.51
- crystal system = orthorhombic

Structure (Quantum ESPRESSO input):
```
&SYSTEM
  ibrav = 0, nat = 16, ntyp = 4
/
ATOMIC_SPECIES
Ba 137.33 Ba.upf
Ac 227.00 Ac.upf
Cr 52.00 Cr.upf
N 14.01 N.upf
ATOMIC_POSITIONS angstrom
Ba 6.064 -2.662 7.048
Ba 6.097 -2.006 -0.741
Ac 7.730 -1.418 3.107
Ac 1.661 -1.699 -1.017
Ac 4.432 -3.251 3.200
Ac 10.501 -2.969 7.324
Cr 8.423 -4.045 4.989
Cr 3.738 -0.624 1.318
N 3.807 -0.059 -0.370
N 6.803 -3.740 4.315
N 8.355 -4.609 6.677
N 5.359 -0.928 1.992
N 3.358 -1.880 5.110
N 0.000 0.000 0.000
N 9.248 -2.173 5.136
N 2.913 -2.496 1.172
CELL_PARAMETERS angstrom
-0.170 -3.517 -1.182
5.615 2.608 -2.730
6.716 -3.760 10.220
```